No. 1
## HgTeN2F (meta-GGA SCAN)

Data for HgTeN2F at its PBEsol-relaxed geometry.

Lattice parameters (Å, degrees): 4.221 4.221 4.220 90.00 90.00 90.00
Atoms (fractional coordinates):
Hg  0.000  0.000  0.000
N  0.000  0.500  0.000
N  0.500  0.000  0.000
Te  0.500  0.500  0.500
F  0.000  0.000  0.500

magnetization: 0.0 μB per formula unit
symmetry: P4/mmm
uncorrected energy: -1.771 Ry per atom
ΔE_f (raw): 1.41 eV per atom

***

No. 2
## TaBe4Mo (meta-GGA SCAN)

Data for TaBe4Mo at its PBEsol-relaxed geometry.

Lattice parameters (Å, degrees): 4.505 4.505 7.339 90.00 90.00 120.00
Atoms (fractional coordinates):
Ta  0.667  0.333  0.070
Ta  0.333  0.667  0.930
Be  0.829  0.658  0.747
Be  0.342  0.171  0.747
Be  0.000  0.000  0.000
Be  0.171  0.829  0.253
Be  0.171  0.342  0.253
Be  0.658  0.829  0.253
Be  0.829  0.171  0.747
Be  0.000  0.000  0.500
Mo  0.333  0.667  0.560
Mo  0.667  0.333  0.440

magnetization: 0.0 μB per formula unit
symmetry: P-3m1
energy relative to the elements: -157 kJ/mol of formula units
uncorrected energy: -1.476 Ry per atom
energy relative to the lowest polymorph listed for this composition: 18 meV per atom

***

No. 3
## SrHfGa2Rh (meta-GGA SCAN)

Data for SrHfGa2Rh at its PBEsol-relaxed geometry.

Lattice parameters (Å, degrees): 4.746 5.178 5.178 90.00 90.00 90.00
Atoms (fractional coordinates):
Hf  0.000  0.000  0.000
Ga  0.000  0.500  0.000
Ga  0.000  0.000  0.500
Sr  0.500  0.500  0.500
Rh  0.500  0.000  0.000

magnetization: 0.0 μB per formula unit
symmetry: P4/mmm
energy relative to the elements: 2 kJ/mol of formula units
uncorrected energy: -2.225 Ry per atom

***

No. 4
## BaNiSb (meta-GGA SCAN)

Data for BaNiSb at its PBEsol-relaxed geometry.

Lattice parameters (Å, degrees): 3.490 3.490 6.520 105.53 105.53 89.97
Atoms (fractional coordinates):
Ba  0.994  0.994  0.988
Ni  0.291  0.291  0.581
Sb  0.716  0.716  0.431

magnetization: 0.0 μB per formula unit
symmetry: I4mm
uncorrected energy: -2.291 Ry per atom
ΔE_f (raw): -0.18 eV per atom

***

No. 5
## La2ReBr (meta-GGA SCAN)

Data for La2ReBr at its PBEsol-relaxed geometry.

Lattice parameters (Å, degrees): 3.609 4.904 5.897 90.00 107.82 90.00
Atoms (fractional coordinates):
Re  0.490  0.000  0.979
Br  0.738  0.500  0.475
La  0.004  0.500  0.007
La  0.269  0.000  0.538

magnetization: 0.0 μB per formula unit
symmetry: Amm2
uncorrected energy: -3.280 Ry per atom
energy relative to the lowest polymorph listed for this composition: 0 meV per atom
ΔE_f (raw): -0.44 eV per atom

***

No. 6
## Fe3Si (meta-GGA SCAN)

Data for Fe3Si at its PBEsol-relaxed geometry.

Lattice parameters (Å, degrees): 3.905 3.905 3.905 60.00 60.00 60.00
Each line ends with the local moment (μB).
Atoms (fractional coordinates):
Fe  0.750  0.750  0.750  1.51
Fe  0.000  0.000  0.000  2.67
Fe  0.250  0.250  0.250  1.51
Si  0.500  0.500  0.500  -0.10

magnetization: 5.4 μB per formula unit
symmetry: Fm-3m
uncorrected energy: -1.205 Ry per atom
ΔE_f (raw): -0.30 eV per atom

***

No. 7
## CaYHg2 (meta-GGA SCAN)

Data for CaYHg2 at its PBEsol-relaxed geometry.

Lattice parameters (Å, degrees): 3.634 5.225 5.225 90.00 90.00 90.00
Atoms (fractional coordinates):
Hg  0.500  0.500  0.000
Hg  0.500  0.000  0.500
Ca  0.000  0.000  0.000
Y  0.000  0.500  0.500

magnetization: 0.0 μB per formula unit
symmetry: P4/mmm
energy relative to the elements: -299 kJ/mol of formula units
uncorrected energy: -3.251 Ry per atom
energy relative to the lowest polymorph listed for this composition: 0 meV per atom

***

No. 8
## SbBr3F (meta-GGA SCAN)

Data for SbBr3F at its PBEsol-relaxed geometry.

Lattice parameters (Å, degrees): 4.845 4.845 4.845 90.00 90.00 90.00
Atoms (fractional coordinates):
Sb  0.500  0.500  0.500
Br  0.000  0.000  0.500
Br  0.500  0.000  0.000
Br  0.000  0.500  0.000
F  0.000  0.000  0.000

magnetization: 0.0 μB per formula unit
symmetry: Pm-3m
uncorrected energy: -1.433 Ry per atom
ΔE_f (raw): 0.35 eV per atom